--- a ---
Compound: Ti3ZnN
Source: the Alexandria database
Functional: PBE
Structure: optimized geometry

abc: 7.0896 7.0896 7.0896
angles: 43.69 43.69 43.69
Fractional coordinates of all 10 atoms:
Zn 0.3365 0.3365 0.3365
Zn 0.6635 0.6635 0.6635
N 0.1618 0.1618 0.1618
N 0.8382 0.8382 0.8382
Ti 0.4498 0.0949 0.7814
Ti 0.0949 0.7814 0.4498
Ti 0.2186 0.5502 0.9051
Ti 0.9051 0.2186 0.5502
Ti 0.5502 0.9051 0.2186
Ti 0.7814 0.4498 0.0949

Symmetry: R-3 (148)
N(E_F), states/eV/cell: 1.1
Calculated volume, Å³/cell: 154



--- b ---
Compound: Ti3ZnN
Source: the Alexandria database
Functional: PBE
Structure: optimized geometry

abc: 5.0100 5.0100 7.3345
angles: 70.03 70.03 90.00
Fractional coordinates of all 10 atoms:
Zn 0.6403 0.1403 0.7193
Zn 0.8597 0.3597 0.2807
N 0.0000 0.0000 0.0000
N 0.2500 0.7500 0.5000
Ti 0.1569 0.8908 0.2184
Ti 0.1092 0.8431 0.7816
Ti 0.1092 0.3753 0.7816
Ti 0.6247 0.8908 0.2184
Ti 0.2834 0.2834 0.4332
Ti 0.7166 0.7166 0.5668

Symmetry: I-4m2 (119)
N(E_F), states/eV/cell: 11.5
Calculated volume, Å³/cell: 161



Relative to the most stable structure, the computed energies are a 0; b 482, all in meV/atom.



--- a ---
Compound: CrTe2I
Source: the Alexandria database
Functional: PBE
Structure: optimized geometry

abc: 7.0965 6.7811 8.2220
angles: 113.32 68.23 122.16
Fractional coordinates of all 8 atoms:
I 0.4438 0.6509 0.9826
I 0.1458 0.8425 0.7524
Cr 0.9524 0.8076 0.0810
Cr 0.1074 0.7665 0.1924
Te 0.7848 0.9010 0.4348
Te 0.7873 0.3417 0.0493
Te 0.4009 0.2238 0.3438
Te 0.0815 0.2891 0.2651

Symmetry: P1 (1)
N(E_F), states/eV/cell: 0.0
Calculated volume, Å³/cell: 301



--- b ---
Compound: CrTe2I
Source: the Alexandria database
Functional: PBE
Structure: optimized geometry

abc: 8.9999 8.9999 8.9999
angles: 26.72 26.72 26.72
Site moments in Bohr magnetons follow the coordinates.
Fractional coordinates of all 4 atoms:
I 0.0000 0.0000 0.0000  -0.01
Cr 0.5000 0.5000 0.5000  3.07
Te 0.8855 0.8855 0.8855  -0.12
Te 0.1145 0.1145 0.1145  -0.12

Symmetry: R-3m (166)
N(E_F), states/eV/cell: 1.0
Calculated volume, Å³/cell: 130



Relative to the most stable structure, the computed energies are a 150; b 0, all in meV/atom.



--- a ---
Compound: KRuPt2
Source: the Alexandria database
Functional: PBE
Structure: optimized geometry

abc: 4.6662 6.2399 6.6638
angles: 67.00 69.97 76.79
Fractional coordinates of all 8 atoms:
K 0.0453 0.3367 0.1614
K 0.4153 0.2559 0.5012
Ru 0.4452 0.8615 0.0105
Ru 0.6550 0.6675 0.7103
Pt 0.8325 0.8372 0.2523
Pt 0.7058 0.2396 0.8709
Pt 0.0457 0.8409 0.8241
Pt 0.2574 0.7625 0.4481

Symmetry: P1 (1)
N(E_F), states/eV/cell: 6.1
Calculated volume, Å³/cell: 167



--- b ---
Compound: KRuPt2
Source: the Alexandria database
Functional: PBE
Structure: optimized geometry

abc: 2.7114 4.1387 7.3436
angles: 90.00 90.00 90.00
Fractional coordinates of all 4 atoms:
K 0.5000 0.5000 0.7558
Pt 0.0000 0.0000 0.0599
Pt 0.5000 0.5000 0.2777
Ru 0.0000 0.0000 0.4066

Symmetry: Pmm2 (25)
N(E_F), states/eV/cell: 3.4
Calculated volume, Å³/cell: 82



Relative to the most stable structure, the computed energies are a 0; b 266, all in meV/atom.